Record 1
VASP calculation (PBE) on Rb2Ce2DySe6 after structural relaxation.

Summary:
- spin magnetization (μB/cell) = 1.02
- D(E_F) (states/eV/f.u.) = 6.2
- uncorrected formation energy (eV/atom) = -1.7158
- crystal system = monoclinic
- space group = C2/m

POSCAR file:
```
Rb2Ce2DySe6
1.0
-5.8948 3.3163 -2.9754
0.6825 -7.3468 -0.3971
-2.2531 0.5877 8.1785
Rb Ce Dy Se
2 2 1 6
Direct
0.8330 0.1670 0.0000
0.1670 0.8330 0.0000
0.3339 0.6661 0.5000
0.6661 0.3339 0.5000
0.0000 0.0000 0.5000
0.7355 0.7355 0.6916
0.0628 0.3941 0.6914
0.2645 0.2645 0.3084
0.3941 0.0628 0.6914
0.9372 0.6059 0.3086
0.6059 0.9372 0.3086
```

***

Record 2
VASP calculation (PBE) on LaPdO4 after structural relaxation.

Summary:
- spin magnetization (μB/cell) = 0.00
- D(E_F) (states/eV/f.u.) = 4.9
- uncorrected formation energy (eV/atom) = -1.3901
- crystal system = trigonal
- space group = R-3m

POSCAR file:
```
LaPdO4
1.0
-2.1245 3.4040 -4.9366
-0.4276 0.2297 -6.3431
-4.0195 0.0360 -4.9308
La Pd O
1 1 4
Direct
0.0000 0.0000 0.0000
0.5000 0.5000 0.5000
0.6124 0.6124 0.6124
0.1570 0.1570 0.1570
0.8430 0.8430 0.8430
0.3876 0.3876 0.3876
```

***

Record 3
VASP calculation (PBE) on Tc2SbW after structural relaxation.

Summary:
- spin magnetization (μB/cell) = 0.00
- D(E_F) (states/eV/f.u.) = 3.3
- uncorrected formation energy (eV/atom) = 0.3037
- crystal system = monoclinic
- space group = Pm

POSCAR file:
```
Tc2SbW
1.0
-3.8378 -1.0595 -1.2314
0.1462 -2.4719 1.6711
-1.9104 0.2083 5.7746
Sb Tc W
1 2 1
Direct
0.5000 0.7365 0.7633
0.0000 0.0019 0.9990
0.5000 0.2404 0.2634
0.0000 0.5212 0.4743
```

***

Record 4
VASP calculation (PBE) on BaNa after structural relaxation.

Summary:
- spin magnetization (μB/cell) = 0.00
- formation energy (eV/atom) = 0.05
- D(E_F) (states/eV/f.u.) = 2.0
- crystal system = orthorhombic
- space group = Imm2

POSCAR file:
```
BaNa
1.0
12.4476 0.0000 0.0000
0.0000 6.3226 0.0000
0.0000 0.0000 7.9631
Ba Na
6 6
Direct
0.8166 0.0000 0.1695
0.1834 0.0000 0.1695
0.3166 0.5000 0.6695
0.6834 0.5000 0.6695
0.0000 0.5000 0.9194
0.5000 0.0000 0.4194
0.8652 0.0000 0.6624
0.1348 0.0000 0.6624
0.3652 0.5000 0.1624
0.6348 0.5000 0.1624
0.0000 0.5000 0.4188
0.5000 0.0000 0.9188
```

***

Record 5
VASP calculation (PBE) on PmSc after structural relaxation.

Summary:
- spin magnetization (μB/cell) = 0.00
- formation energy (eV/atom) = 0.05
- D(E_F) (states/eV/f.u.) = 3.6
- crystal system = orthorhombic
- space group = Pmma

POSCAR file:
```
PmSc
1.0
3.5102 0.0000 0.4753
0.0000 5.5000 0.0000
-0.8143 0.0000 6.0090
Pm Sc
2 2
Direct
0.5001 0.2500 0.3231
0.4999 0.7500 0.6769
0.0002 0.2500 0.8411
0.9998 0.7500 0.1589
```

***

Record 6
VASP calculation (PBE) on MnAg3Te4 after structural relaxation.

Summary:
- spin magnetization (μB/cell) = 4.35
- D(E_F) (states/eV/f.u.) = 5.3
- uncorrected formation energy (eV/atom) = -0.0074
- crystal system = orthorhombic
- space group = Pmn2_1

POSCAR file:
```
MnAg3Te4
1.0
-1.2374 -5.2047 -5.2489
-4.1047 -3.9779 4.9121
-7.1797 4.2701 -2.5416
Mn Ag Te
2 6 8
Direct
0.0030 0.1773 0.0000
0.5030 0.8227 0.5000
0.4928 0.8506 0.0000
0.9920 0.6700 0.2482
0.4920 0.3300 0.2518
0.9928 0.1494 0.5000
0.4920 0.3300 0.7482
0.9920 0.6700 0.7518
0.1237 0.8635 0.0000
0.6668 0.1793 0.0000
0.1225 0.3239 0.2404
0.6225 0.6762 0.2596
0.1668 0.8207 0.5000
0.6237 0.1365 0.5000
0.6225 0.6762 0.7404
0.1225 0.3239 0.7596
```

***

Record 7
VASP calculation (PBE) on CeHfPa2 after structural relaxation.

Summary:
- spin magnetization (μB/cell) = 0.00
- formation energy (eV/atom) = 0.27
- D(E_F) (states/eV/f.u.) = 9.5
- crystal system = cubic
- space group = Fm-3m

POSCAR file:
```
CeHfPa2
1.0
-0.7502 -2.5024 4.4670
4.0307 -2.0083 2.5493
1.5657 2.1253 4.4509
Pa Hf Ce
2 1 1
Direct
0.2500 0.2500 0.2500
0.7500 0.7500 0.7500
0.5000 0.5000 0.5000
0.0000 0.0000 0.0000
```

***

Record 8
VASP calculation (PBE) on Dy3Ag2Au after structural relaxation.

Summary:
- spin magnetization (μB/cell) = 0.00
- formation energy (eV/atom) = -0.51
- D(E_F) (states/eV/f.u.) = 2.5
- crystal system = trigonal
- space group = P-3m1

POSCAR file:
```
Dy3Ag2Au
1.0
-3.6026 -3.4643 -1.0892
4.6129 -0.3333 -2.1855
2.0017 -3.5817 4.7710
Dy Ag Au
3 2 1
Direct
0.0000 0.0000 0.5000
0.6667 0.3333 0.8410
0.3333 0.6667 0.1590
0.6667 0.3333 0.3483
0.3333 0.6667 0.6517
0.0000 0.0000 0.0000
```

***

Record 9
VASP calculation (PBE) on Pm2AsSe after structural relaxation.

Summary:
- spin magnetization (μB/cell) = 0.00
- D(E_F) (states/eV/f.u.) = 1.9
- uncorrected formation energy (eV/atom) = -1.7083
- crystal system = hexagonal
- space group = P6_3/mmc

POSCAR file:
```
Pm2AsSe
1.0
-1.7862 3.1974 2.0106
-1.0440 -0.8221 -3.9611
-10.4244 -8.6843 4.5498
Pm As Se
4 2 2
Direct
0.3333 0.6667 0.3844
0.6667 0.3333 0.8844
0.6667 0.3333 0.6156
0.3333 0.6667 0.1156
0.0000 0.0000 0.5000
0.0000 0.0000 0.0000
0.6667 0.3333 0.2500
0.3333 0.6667 0.7500
```

***

Record 10
VASP calculation (PBE) on TbSmTlRh after structural relaxation.

Summary:
- spin magnetization (μB/cell) = 0.00
- formation energy (eV/atom) = -0.57
- D(E_F) (states/eV/f.u.) = 3.1
- crystal system = tetragonal
- space group = P4mm

POSCAR file:
```
TbSmTlRh
1.0
-1.6829 2.1895 -2.2360
-2.7884 -2.2016 -0.0573
-3.1246 3.7994 6.0722
Tb Sm Tl Rh
1 1 1 1
Direct
0.5000 0.5000 0.3586
0.5000 0.5000 0.7858
0.0000 0.0000 0.0775
0.0000 0.0000 0.5628
```

***

Record 11
VASP calculation (PBE) on Cu2RuRhO6 after structural relaxation.

Summary:
- spin magnetization (μB/cell) = 0.00
- D(E_F) (states/eV/f.u.) = 6.8
- uncorrected formation energy (eV/atom) = -0.6381
- crystal system = trigonal
- space group = R3

POSCAR file:
```
Cu2RuRhO6
1.0
5.1684 -0.0004 0.0004
-2.5843 4.4767 -0.0020
-2.5815 -1.4925 4.5729
Cu Ru Rh O
2 1 1 6
Direct
0.5915 0.7956 0.3727
0.4880 0.2436 0.7175
0.0036 0.0013 0.9909
0.9842 0.4918 0.4619
0.5030 0.8875 0.7080
0.4816 0.0979 0.2116
0.8424 0.7439 0.2116
0.1288 0.3832 0.2121
0.8355 0.6142 0.7089
0.1071 0.2186 0.7073
```

***

Record 12
VASP calculation (PBE) on LaTlIO6 after structural relaxation.

Summary:
- spin magnetization (μB/cell) = 0.00
- D(E_F) (states/eV/f.u.) = 3.7
- uncorrected formation energy (eV/atom) = -1.2057
- crystal system = trigonal
- space group = P-31c

POSCAR file:
```
LaTlIO6
1.0
-2.6021 2.6077 -4.7046
2.9005 -5.1796 -0.6807
-8.0036 -4.7198 1.8106
La Tl I O
2 2 2 12
Direct
0.3333 0.6667 0.2500
0.6667 0.3333 0.7500
0.0000 0.0000 0.0000
0.0000 0.0000 0.5000
0.6667 0.3333 0.2500
0.3333 0.6667 0.7500
0.6594 0.5958 0.1370
0.9364 0.3406 0.1370
0.3406 0.9364 0.6370
0.0636 0.6594 0.8630
0.4042 0.3406 0.3630
0.9364 0.5958 0.3630
0.5958 0.9364 0.8630
0.6594 0.0636 0.3630
0.0636 0.4042 0.6370
0.4042 0.0636 0.1370
0.5958 0.6594 0.6370
0.3406 0.4042 0.8630
```

***

Record 13
VASP calculation (PBE) on CaPm5Nd5 after structural relaxation.

Summary:
- spin magnetization (μB/cell) = 0.03
- formation energy (eV/atom) = 0.28
- D(E_F) (states/eV/f.u.) = 22.4
- crystal system = hexagonal
- space group = P-6m2

POSCAR file:
```
CaPm5Nd5
1.0
6.3067 0.0000 0.0000
-3.1533 5.4617 0.0000
0.0000 0.0000 11.7245
Ca Pm Nd
1 5 5
Direct
0.3333 0.6667 0.0000
0.3384 0.1692 0.5000
0.0000 0.0000 0.2655
0.8308 0.6616 0.5000
0.8308 0.1692 0.5000
0.0000 0.0000 0.7345
0.6667 0.3333 0.1690
0.6667 0.3333 0.8310
0.3333 0.6667 0.3172
0.3333 0.6667 0.6828
0.0000 0.0000 0.0000
```

***

Record 14
VASP calculation (PBE) on TaSi after structural relaxation.

Summary:
- spin magnetization (μB/cell) = 0.00
- D(E_F) (states/eV/f.u.) = 0.5
- uncorrected formation energy (eV/atom) = -0.4540
- crystal system = orthorhombic
- space group = P2_12_12_1

POSCAR file:
```
TaSi
1.0
4.9838 0.0000 0.0000
0.0000 5.4784 0.0000
0.0000 0.0000 9.2482
Ta Si
8 8
Direct
0.6272 0.6139 0.0506
0.1272 0.8861 0.9494
0.3728 0.1139 0.4494
0.8728 0.3861 0.5506
0.3859 0.3890 0.7763
0.8859 0.1110 0.2237
0.6141 0.8890 0.7237
0.1141 0.6110 0.2763
0.1483 0.3850 0.0293
0.6483 0.1150 0.9707
0.8517 0.8850 0.4707
0.3517 0.6150 0.5293
0.1078 0.0175 0.6854
0.6078 0.4825 0.3146
0.8922 0.5175 0.8146
0.3922 0.9825 0.1854
```

***

Record 15
VASP calculation (PBE) on LiLaTe2O6 after structural relaxation.

Summary:
- spin magnetization (μB/cell) = 0.00
- D(E_F) (states/eV/f.u.) = 0.0
- uncorrected formation energy (eV/atom) = -1.8385
- crystal system = monoclinic
- space group = C2/c

POSCAR file:
```
LiLaTe2O6
1.0
6.6796 0.1538 0.1596
2.2074 7.0735 0.3485
2.2074 0.0861 7.0816
Li La Te O
2 2 4 12
Direct
0.2500 0.3587 0.6413
0.7500 0.6413 0.3587
0.2500 0.7101 0.2899
0.7500 0.2899 0.7101
0.3429 0.8555 0.6694
0.1571 0.3306 0.1445
0.6571 0.1445 0.3306
0.8429 0.6694 0.8555
0.0641 0.0362 0.6804
0.4359 0.3196 0.9638
0.9359 0.9638 0.3196
0.5641 0.6804 0.0362
0.4795 0.8690 0.3976
0.0205 0.6024 0.1310
0.5205 0.1310 0.6024
0.9795 0.3976 0.8690
0.2571 0.6398 0.6246
0.2429 0.3754 0.3602
0.7429 0.3602 0.3754
0.7571 0.6246 0.6398
```

***

Record 16
VASP calculation (PBE) on PrSi3Pd2 after structural relaxation.

Summary:
- spin magnetization (μB/cell) = 0.00
- D(E_F) (states/eV/f.u.) = 3.6
- uncorrected formation energy (eV/atom) = -0.6965
- crystal system = tetragonal
- space group = I4/mmm

POSCAR file:
```
PrSi3Pd2
1.0
-3.6891 1.9552 -0.4295
-1.9620 -3.7102 -0.0380
1.6468 1.3739 12.6185
Pr Si Pd
2 6 4
Direct
0.8525 0.8525 0.7050
0.1475 0.1475 0.2950
0.4530 0.9530 0.9060
0.9530 0.4530 0.9060
0.5470 0.0470 0.0940
0.3041 0.3041 0.6081
0.6959 0.6959 0.3919
0.0470 0.5470 0.0940
0.2500 0.7500 0.5000
0.7500 0.2500 0.5000
0.4041 0.4041 0.8081
0.5959 0.5959 0.1919
```

***

Record 17
VASP calculation (PBE) on Li4CaRh after structural relaxation.

Summary:
- spin magnetization (μB/cell) = 0.00
- formation energy (eV/atom) = -0.03
- D(E_F) (states/eV/f.u.) = 3.0
- crystal system = tetragonal
- space group = I4/mcm

POSCAR file:
```
Li4CaRh
1.0
6.0956 -0.0012 2.4106
-0.9494 6.0212 2.4106
0.5931 0.6938 7.4191
Li Ca Rh
8 2 2
Direct
0.9896 0.1750 0.3353
0.1751 0.6751 0.3355
0.4896 0.9896 0.3354
0.5104 0.0104 0.6646
0.8249 0.3249 0.6645
0.0104 0.8250 0.6647
0.3250 0.5104 0.6647
0.6750 0.4896 0.3353
0.5000 0.5000 0.0000
0.0000 0.0000 0.0000
0.7500 0.7500 0.5000
0.2500 0.2500 0.5000
```

***

Record 18
VASP calculation (PBE) on Tb3Ni7Ru2 after structural relaxation.

Summary:
- spin magnetization (μB/cell) = 0.00
- formation energy (eV/atom) = -0.33
- D(E_F) (states/eV/f.u.) = 9.9
- crystal system = trigonal
- space group = R-3m

POSCAR file:
```
Tb3Ni7Ru2
1.0
4.7784 0.0000 1.4956
2.1552 4.2648 1.4956
-0.1430 -0.0880 8.8382
Tb Ni Ru
3 7 2
Direct
0.0000 0.0000 0.0000
0.8617 0.8617 0.4150
0.1383 0.1383 0.5850
0.5000 0.5000 0.5000
0.9167 0.4160 0.2513
0.4160 0.9167 0.2513
0.4160 0.4160 0.2513
0.0833 0.5840 0.7487
0.5840 0.5840 0.7487
0.5840 0.0833 0.7487
0.6672 0.6672 0.9985
0.3328 0.3328 0.0015
```

***

Record 19
VASP calculation (PBE) on TcGeOF2 after structural relaxation.

Summary:
- spin magnetization (μB/cell) = 0.00
- D(E_F) (states/eV/f.u.) = 3.3
- uncorrected formation energy (eV/atom) = -0.8830
- crystal system = tetragonal
- space group = P4/mmm

POSCAR file:
```
TcGeOF2
1.0
-0.4897 2.0738 -3.7706
0.4846 -3.7443 -2.1223
-3.7134 -0.5748 0.1662
Ge Tc O F
1 1 1 2
Direct
0.5000 0.5000 0.5000
0.0000 0.0000 0.0000
0.0000 0.0000 0.5000
0.0000 0.5000 0.0000
0.5000 0.0000 0.0000
```

***

Record 20
VASP calculation (PBE) on PbS2N2 after structural relaxation.

Summary:
- spin magnetization (μB/cell) = 0.60
- D(E_F) (states/eV/f.u.) = 2.9
- uncorrected formation energy (eV/atom) = 1.3599
- crystal system = tetragonal
- space group = P4/mmm

POSCAR file:
```
PbS2N2
1.0
-3.7302 -0.9300 0.1741
0.9245 -3.7332 -0.1340
0.2556 -0.1118 4.8795
Pb S N
1 2 2
Direct
0.5000 0.5000 0.5000
0.0000 0.0000 0.0000
0.0000 0.0000 0.5000
0.0000 0.5000 0.0000
0.5000 0.0000 0.0000
```